[1]
# PBE-GGA ZrBe4, optimized geometry
data_ZrBe4
_chemical_formula_sum 'Zr2 Be8'
_symmetry_space_group_name_H-M 'I 4/m m m'
_symmetry_Int_Tables_number 139
_symmetry_space_group_name_Hall '-I 4 2'
_cell_length_a 5.3374
_cell_length_b 5.3374
_cell_length_c 3.9075
_cell_angle_alpha 90.00
_cell_angle_beta 90.00
_cell_angle_gamma 90.00
loop_
_atom_site_label
_atom_site_type_symbol
_atom_site_fract_x
_atom_site_fract_y
_atom_site_fract_z
Zr1 Zr 0.0000 0.0000 0.0000
Be1 Be 0.0000 0.3120 0.5000
# size of the total moment	0.000	μB/cell
# energy above the most stable polymorph in this dataset	171	meV per atom
# energy of formation	-0.030	eV per atom

***

[2]
# PBE-GGA Sm2ThRh, optimized geometry
data_Sm2ThRh
_chemical_formula_sum 'Sm6 Th3 Rh3'
_symmetry_space_group_name_H-M 'R -3 m'
_symmetry_Int_Tables_number 166
_symmetry_space_group_name_Hall '-R 3 2"'
_cell_length_a 3.6130
_cell_length_b 3.6130
_cell_length_c 32.1541
_cell_angle_alpha 90.00
_cell_angle_beta 90.00
_cell_angle_gamma 120.00
loop_
_atom_site_label
_atom_site_type_symbol
_atom_site_fract_x
_atom_site_fract_y
_atom_site_fract_z
Sm1 Sm 0.0000 0.0000 0.1090
Th1 Th 0.0000 0.0000 0.0000
Rh1 Rh 0.0000 0.0000 0.5000
# size of the total moment	0.000	μB/cell
# energy above the most stable polymorph in this dataset	410	meV per atom
# energy of formation	-0.052	eV per atom

***

[3]
# PBE-GGA La4Nd3YS8, optimized geometry
data_La4Nd3YS8
_chemical_formula_sum 'La12 Nd9 Y3 S24'
_symmetry_space_group_name_H-M 'R -3 m'
_symmetry_Int_Tables_number 166
_symmetry_space_group_name_Hall '-R 3 2"'
_cell_length_a 8.1886
_cell_length_b 8.1886
_cell_length_c 20.0614
_cell_angle_alpha 90.00
_cell_angle_beta 90.00
_cell_angle_gamma 120.00
loop_
_atom_site_label
_atom_site_type_symbol
_atom_site_fract_x
_atom_site_fract_y
_atom_site_fract_z
La1 La 0.0000 0.0000 0.0000
La2 La 0.0000 0.5000 0.0000
Nd1 Nd 0.0000 0.5000 0.5000
Y1 Y 0.0000 0.0000 0.5000
S1 S 0.0000 0.0000 0.2484
S2 S 0.0071 0.5036 0.2466
# size of the total moment	0.000	μB/cell
# raw formation energy	-2.0936	eV per atom

***

[4]
# PBE-GGA Pm3Cd2Pd7, optimized geometry
data_Pm3Cd2Pd7
_chemical_formula_sum 'Pm6 Cd4 Pd14'
_symmetry_space_group_name_H-M 'C m m m'
_symmetry_Int_Tables_number 65
_symmetry_space_group_name_Hall '-C 2 2'
_cell_length_a 4.2126
_cell_length_b 29.5805
_cell_length_c 4.0606
_cell_angle_alpha 90.00
_cell_angle_beta 90.00
_cell_angle_gamma 90.00
loop_
_atom_site_label
_atom_site_type_symbol
_atom_site_fract_x
_atom_site_fract_y
_atom_site_fract_z
Pm1 Pm 0.0000 0.0000 0.0000
Pm2 Pm 0.0000 0.3098 0.5000
Cd1 Cd 0.0000 0.1310 0.0000
Pd1 Pd 0.0000 0.0704 0.5000
Pd2 Pd 0.0000 0.2216 0.0000
Pd3 Pd 0.0000 0.4280 0.0000
Pd4 Pd 0.0000 0.5000 0.5000
# size of the total moment	0.000	μB/cell
# energy of formation	-0.591	eV per atom

***

What is the formula in the fourth record?
Pm3Cd2Pd7